This record from Alexandria describes a relaxed La3InSi2Pd9 crystal. The functional is PBE.

Computed properties:
SG	P-3m1
ΔE_f (raw)	-0.681	eV per atom
energy	-85.322	eV per formula unit
calculated volume	22.04	Å³ per atom

Lattice parameters (Å, degrees): 5.8825 5.8825 11.0296 90.00 90.00 120.00
Last column: nearest neighbours and their distance in Å.
Fractional coordinates of all 15 atoms:
La1 0.3333 0.6667 0.7248  6 Pd 2.95
La2 0.0000 0.0000 0.0000  6 Pd 2.94
La3 0.6667 0.3333 0.2752  6 Pd 2.95
In1 0.0000 0.0000 0.5000  6 Pd 2.74
Si1 0.3333 0.6667 0.1574  6 Pd 2.37-2.43
Si2 0.6667 0.3333 0.8426  6 Pd 2.37-2.43
Pd1 0.8408 0.1592 0.7001  1 Si 2.37
Pd2 0.8408 0.6815 0.7001  1 Si 2.37
Pd3 0.3185 0.1592 0.7001  1 Si 2.37
Pd4 0.6815 0.8408 0.2999  1 Si 2.37
Pd5 0.1592 0.3185 0.2999  1 Si 2.37
Pd6 0.1592 0.8408 0.2999  1 Si 2.37
Pd7 0.5000 0.0000 0.0000  2 Si 2.43
Pd8 0.0000 0.5000 0.0000  2 Si 2.43
Pd9 0.5000 0.5000 0.0000  2 Si 2.43